# NaScN2F (PBE, relaxed)
data_NaScN2F
_space_group_name_H-M_alt 'P 4/m m m'
_space_group_IT_number 123
_space_group_name_Hall '-P 4 2'
_cell_length_a 4.130
_cell_length_b 4.130
_cell_length_c 3.814
_cell_angle_alpha 90.00
_cell_angle_beta 90.00
_cell_angle_gamma 90.00
loop_
_atom_site_label
_atom_site_fract_x
_atom_site_fract_y
_atom_site_fract_z
Na1 0.000 0.000 0.000
Sc1 0.500 0.500 0.500
N1 0.000 0.500 0.000
F1 0.000 0.000 0.500
# E = -4.90 eV per atom
# Uncorrected formation energy = 339 meV per atom
# DOS at the Fermi energy = 2.8 states/eV/cell
# Distance to the lowest polymorph of the same formula = 964 meV per atom